(1)
K3Hg2Pb7 GGA-PBE relaxed; energy of formation = -123.6 meV/atom; calculated density = 7.791 g/cm³; magnetic moment = 0.000 μB per atom; crystal system = trigonal; space group = R-3m, No. 166
1.0
3.417 1.973 10.378
-3.417 1.973 10.378
0.000 -3.945 10.378
K Hg Pb
3 2 7
Direct
0.000 0.000 0.000
0.141 0.141 0.141
0.859 0.859 0.859
0.336 0.336 0.336
0.664 0.664 0.664
0.079 0.582 0.582
0.418 0.418 0.921
0.418 0.921 0.418
0.500 0.500 0.500
0.582 0.079 0.582
0.582 0.582 0.079
0.921 0.418 0.418

(2)
KHgPb3 GGA-PBE relaxed; energy of formation = -64.2 meV/atom; calculated density = 8.234 g/cm³; magnetic moment = 0.000 μB per atom; crystal system = orthorhombic; relative energy among the computed polymorphs = 47 meV/atom; space group = Pmn2_1, No. 31
1.0
6.880 0.000 0.000
0.000 7.154 0.000
0.000 0.000 7.058
K Hg Pb
2 2 6
Direct
0.000 0.240 0.000
0.500 0.760 0.500
0.000 0.919 0.645
0.500 0.081 0.145
0.000 0.614 0.352
0.248 0.746 0.985
0.252 0.254 0.485
0.500 0.386 0.852
0.748 0.254 0.485
0.752 0.746 0.985

(3)
KHg4Pb12 GGA-PBE relaxed; energy of formation = 123.2 meV/atom; calculated density = 9.540 g/cm³; magnetic moment = 0.000 μB per atom; crystal system = cubic; space group = Im-3, No. 204
1.0
-5.251 5.251 5.251
5.251 -5.251 5.251
5.251 5.251 -5.251
K Hg Pb
1 4 12
Direct
0.000 0.000 0.000
0.000 0.000 0.500
0.000 0.500 0.000
0.500 0.000 0.000
0.500 0.500 0.500
0.155 0.507 0.352
0.155 0.802 0.648
0.198 0.352 0.845
0.352 0.155 0.507
0.352 0.845 0.198
0.493 0.648 0.845
0.507 0.352 0.155
0.648 0.155 0.802
0.648 0.845 0.493
0.802 0.648 0.155
0.845 0.198 0.352
0.845 0.493 0.648

(4)
KHg4Pb GGA-PBE relaxed; energy of formation = -111.6 meV/atom; calculated density = 9.198 g/cm³; magnetic moment = 0.000 μB per atom; crystal system = orthorhombic; relative energy among the computed polymorphs = 10 meV/atom; space group = Pmma, No. 51
1.0
7.866 0.000 0.000
0.000 5.370 0.000
0.000 0.000 8.964
K Hg Pb
2 8 2
Direct
0.250 0.000 0.149
0.750 0.000 0.851
0.000 0.000 0.500
0.048 0.500 0.832
0.250 0.500 0.422
0.452 0.500 0.832
0.500 0.000 0.500
0.548 0.500 0.168
0.750 0.500 0.578
0.952 0.500 0.168
0.250 0.000 0.744
0.750 0.000 0.256

(5)
KHg2Pb GGA-PBE relaxed; energy of formation = -30.8 meV/atom; calculated density = 6.721 g/cm³; magnetic moment = 0.000 μB per atom; crystal system = tetragonal; space group = I-42d, No. 122
1.0
5.550 0.000 0.000
0.000 5.550 0.000
0.000 0.000 20.776
K Hg Pb
4 8 4
Direct
0.000 0.000 0.000
0.000 0.500 0.250
0.500 0.000 0.750
0.500 0.500 0.500
0.135 0.250 0.625
0.250 0.635 0.875
0.250 0.865 0.375
0.365 0.250 0.125
0.635 0.750 0.125
0.750 0.135 0.375
0.750 0.365 0.875
0.865 0.750 0.625
0.000 0.000 0.500
0.000 0.500 0.750
0.500 0.000 0.250
0.500 0.500 0.000

(6)
K2Hg6PdPb GGA-PBE relaxed; energy of formation = -169.8 meV/atom; calculated density = 8.327 g/cm³; magnetic moment = 0.000 μB per atom; crystal system = trigonal; space group = R-3m, No. 166
1.0
3.712 2.143 13.329
-3.712 2.143 13.329
0.000 -4.286 13.329
K Hg Pd Pb
4 12 2 2
Direct
0.108 0.108 0.108
0.279 0.279 0.279
0.721 0.721 0.721
0.892 0.892 0.892
0.074 0.672 0.672
0.217 0.217 0.660
0.217 0.660 0.217
0.328 0.328 0.926
0.328 0.926 0.328
0.340 0.783 0.783
0.660 0.217 0.217
0.672 0.074 0.672
0.672 0.672 0.074
0.783 0.340 0.783
0.783 0.783 0.340
0.926 0.328 0.328
0.000 0.000 0.000
0.500 0.500 0.500
0.426 0.426 0.426
0.574 0.574 0.574

(7)
KHg4Pd2Pb GGA-PBE relaxed; energy of formation = -52.5 meV/atom; calculated density = 9.668 g/cm³; magnetic moment = 0.000 μB per atom; crystal system = tetragonal; space group = P4/mmm, No. 123
1.0
4.163 0.000 0.000
0.000 4.163 0.000
0.000 0.000 12.505
K Hg Pd Pb
1 4 2 1
Direct
0.000 0.000 0.000
0.000 0.500 0.235
0.000 0.500 0.765
0.500 0.000 0.235
0.500 0.000 0.765
0.500 0.500 0.393
0.500 0.500 0.607
0.000 0.000 0.500

(8)
KHgPd2Pb2 GGA-PBE relaxed; energy of formation = -104.8 meV/atom; calculated density = 8.322 g/cm³; magnetic moment = 0.000 μB per atom; crystal system = tetragonal; space group = P4/mmm, No. 123
1.0
5.184 0.000 0.000
0.000 5.184 0.000
0.000 0.000 6.437
K Hg Pd Pb
1 1 2 2
Direct
0.000 0.000 0.000
0.000 0.000 0.500
0.000 0.500 0.500
0.500 0.000 0.500
0.500 0.500 0.257
0.500 0.500 0.743

(9)
KHgPdPb2 GGA-PBE relaxed; energy of formation = -63.6 meV/atom; calculated density = 7.840 g/cm³; magnetic moment = 0.000 μB per atom; crystal system = tetragonal; space group = P4/mmm, No. 123
1.0
5.445 0.000 0.000
0.000 5.445 0.000
0.000 0.000 5.434
K Hg Pd Pb
1 1 1 2
Direct
0.000 0.000 0.000
0.500 0.500 0.000
0.500 0.500 0.500
0.000 0.500 0.500
0.500 0.000 0.500

(10)
KHg2PdPb GGA-PBE relaxed; energy of formation = -145.2 meV/atom; calculated density = 8.037 g/cm³; magnetic moment = 0.000 μB per atom; crystal system = tetragonal; space group = P4/mmm, No. 123
1.0
5.402 0.000 0.000
0.000 5.402 0.000
0.000 0.000 5.337
K Hg Pd Pb
1 2 1 1
Direct
0.000 0.000 0.000
0.000 0.500 0.500
0.500 0.000 0.500
0.500 0.500 0.500
0.500 0.500 0.000

(11)
K2HgPdPb GGA-PBE relaxed; energy of formation = -69.2 meV/atom; calculated density = 4.826 g/cm³; magnetic moment = 0.000 μB per atom; crystal system = tetragonal; space group = P4/mmm, No. 123
1.0
6.257 0.000 0.000
0.000 6.257 0.000
0.000 0.000 5.207
K Hg Pd Pb
2 1 1 1
Direct
0.000 0.500 0.000
0.500 0.000 0.000
0.000 0.000 0.500
0.500 0.500 0.000
0.500 0.500 0.500

(12)
K2HgPtPb GGA-PBE relaxed; energy of formation = -108.9 meV/atom; calculated density = 5.397 g/cm³; magnetic moment = 0.000 μB per atom; crystal system = tetragonal; space group = P4/mmm, No. 123
1.0
6.355 0.000 0.000
0.000 6.355 0.000
0.000 0.000 5.189
K Hg Pt Pb
2 1 1 1
Direct
0.000 0.500 0.000
0.500 0.000 0.000
0.000 0.000 0.500
0.500 0.500 0.000
0.500 0.500 0.500

(13)
K2Hg6PtPb GGA-PBE relaxed; energy of formation = -150.0 meV/atom; calculated density = 8.433 g/cm³; magnetic moment = 0.000 μB per atom; crystal system = orthorhombic; space group = Pmmn, No. 59
1.0
7.955 0.000 0.000
0.000 10.012 0.000
0.000 0.000 8.327
K Hg Pt Pb
4 12 2 2
Direct
0.250 0.038 0.247
0.250 0.462 0.247
0.750 0.538 0.753
0.750 0.962 0.753
0.038 0.250 0.628
0.066 0.750 0.987
0.250 0.510 0.803
0.250 0.990 0.803
0.434 0.750 0.987
0.462 0.250 0.628
0.538 0.750 0.372
0.566 0.250 0.013
0.750 0.010 0.197
0.750 0.490 0.197
0.934 0.250 0.013
0.962 0.750 0.372
0.250 0.250 0.890
0.750 0.750 0.110
0.250 0.750 0.593
0.750 0.250 0.407

(14)
KHg2PtPb GGA-PBE relaxed; energy of formation = -156.7 meV/atom; calculated density = 8.887 g/cm³; magnetic moment = 0.000 μB per atom; crystal system = tetragonal; relative energy among the computed polymorphs = 0 meV/atom; space group = P4/mmm, No. 123
1.0
5.397 0.000 0.000
0.000 5.397 0.000
0.000 0.000 5.405
K Hg Pt Pb
1 2 1 1
Direct
0.000 0.000 0.000
0.000 0.500 0.500
0.500 0.000 0.500
0.500 0.500 0.500
0.500 0.500 0.000

(15)
KHgPtPb GGA-PBE relaxed; energy of formation = -161.4 meV/atom; calculated density = 8.804 g/cm³; magnetic moment = 0.000 μB per atom; crystal system = trigonal; space group = R3m, No. 160
1.0
4.702 0.000 0.000
-2.351 4.072 0.000
0.000 0.000 18.971
K Hg Pt Pb
3 3 3 3
Direct
0.000 0.000 0.000
0.333 0.667 0.667
0.667 0.333 0.333
0.000 0.000 0.211
0.333 0.667 0.877
0.667 0.333 0.544
0.000 0.000 0.828
0.333 0.667 0.495
0.667 0.333 0.162
0.000 0.000 0.454
0.333 0.667 0.121
0.667 0.333 0.787

(16)
KHg2PtPb GGA-PBE relaxed; energy of formation = 816.4 meV/atom; calculated density = 7.726 g/cm³; magnetic moment = 0.000 μB per atom; crystal system = tetragonal; relative energy among the computed polymorphs = 973 meV/atom; space group = P4/mmm, No. 123
1.0
5.687 0.000 0.000
0.000 5.687 0.000
0.000 0.000 5.599
K Hg Pt Pb
1 2 1 1
Direct
0.000 0.000 0.000
0.000 0.500 0.000
0.500 0.000 0.000
0.000 0.000 0.500
0.500 0.500 0.500

(17)
KRb2HgPb GGA-PBE relaxed; energy of formation = -16.8 meV/atom; calculated density = 3.636 g/cm³; magnetic moment = 0.042 μB per atom; crystal system = tetragonal; space group = P4/mmm, No. 123
1.0
6.848 0.000 0.000
0.000 6.848 0.000
0.000 0.000 6.017
K Rb Hg Pb
1 2 1 1
Direct
0.000 0.000 0.000
0.000 0.500 0.500
0.500 0.000 0.500
0.500 0.500 0.500
0.500 0.500 0.000

(18)
KHg2RhPb GGA-PBE relaxed; energy of formation = -126.6 meV/atom; calculated density = 8.263 g/cm³; magnetic moment = 0.000 μB per atom; crystal system = tetragonal; space group = P4/mmm, No. 123
1.0
5.401 0.000 0.000
0.000 5.401 0.000
0.000 0.000 5.169
K Hg Rh Pb
1 2 1 1
Direct
0.000 0.000 0.000
0.000 0.500 0.500
0.500 0.000 0.500
0.500 0.500 0.500
0.500 0.500 0.000

(19)
KHgRuPb2 GGA-PBE relaxed; energy of formation = 251.3 meV/atom; calculated density = 7.212 g/cm³; magnetic moment = 0.000 μB per atom; crystal system = tetragonal; space group = P4/mmm, No. 123
1.0
5.222 0.000 0.000
0.000 5.222 0.000
0.000 0.000 6.376
K Hg Ru Pb
1 1 1 2
Direct
0.000 0.000 0.000
0.500 0.500 0.000
0.000 0.000 0.500
0.000 0.500 0.500
0.500 0.000 0.500

(20)
KHgPbS2 GGA-PBE relaxed; ΔE_f (raw) = -0.403 eV per atom; calculated density = 5.592 g/cm³; magnetic moment = 0.000 μB per atom; crystal system = monoclinic; space group = P2/c, No. 13
1.0
7.277 0.000 0.000
0.000 4.477 0.000
-1.332 0.000 9.315
K Hg Pb S
2 2 2 4
Direct
0.000 0.129 0.250
0.000 0.871 0.750
0.500 0.000 0.000
0.500 0.000 0.500
0.500 0.492 0.750
0.500 0.508 0.250
0.240 0.352 0.974
0.240 0.648 0.474
0.760 0.352 0.526
0.760 0.648 0.026

(21)
KHg2SbPb GGA-PBE relaxed; ΔE_f (raw) = -0.168 eV per atom; calculated density = 7.631 g/cm³; magnetic moment = 0.000 μB per atom; crystal system = orthorhombic; space group = Imm2, No. 44
1.0
4.997 0.000 0.000
0.000 5.367 0.000
0.000 0.000 12.484
K Hg Sb Pb
2 4 2 2
Direct
0.000 0.000 0.000
0.500 0.500 0.500
0.000 0.000 0.627
0.000 0.500 0.253
0.500 0.000 0.753
0.500 0.500 0.127
0.000 0.000 0.397
0.500 0.500 0.897
0.000 0.500 0.753
0.500 0.000 0.253

(22)
KHgSb2Pb2 GGA-PBE relaxed; ΔE_f (raw) = -0.135 eV per atom; calculated density = 6.337 g/cm³; magnetic moment = 0.000 μB per atom; crystal system = orthorhombic; space group = Pnnm, No. 58
1.0
6.059 0.000 0.000
0.000 16.631 0.000
0.000 0.000 4.668
K Hg Sb Pb
2 2 4 4
Direct
0.000 0.000 0.000
0.500 0.500 0.500
0.000 0.500 0.000
0.500 0.000 0.500
0.003 0.160 0.500
0.497 0.660 0.000
0.503 0.340 0.000
0.997 0.840 0.500
0.003 0.279 0.000
0.497 0.779 0.500
0.503 0.221 0.500
0.997 0.721 0.000

(23)
KHgSb2Pb4 GGA-PBE relaxed; ΔE_f (raw) = -0.083 eV per atom; calculated density = 7.705 g/cm³; magnetic moment = 0.000 μB per atom; crystal system = tetragonal; space group = P4/mmm, No. 123
1.0
5.188 0.000 0.000
0.000 5.188 0.000
0.000 0.000 10.503
K Hg Sb Pb
1 1 2 4
Direct
0.000 0.000 0.000
0.000 0.000 0.500
0.500 0.500 0.147
0.500 0.500 0.853
0.000 0.500 0.327
0.000 0.500 0.673
0.500 0.000 0.327
0.500 0.000 0.673

(24)
KHgSbPb GGA-PBE relaxed; ΔE_f (raw) = -0.184 eV per atom; calculated density = 7.391 g/cm³; magnetic moment = 0.000 μB per atom; crystal system = cubic; space group = F-43m, No. 216
1.0
7.995 0.000 0.000
0.000 7.995 0.000
0.000 0.000 7.995
K Hg Sb Pb
4 4 4 4
Direct
0.000 0.000 0.000
0.000 0.500 0.500
0.500 0.000 0.500
0.500 0.500 0.000
0.250 0.250 0.250
0.250 0.750 0.750
0.750 0.250 0.750
0.750 0.750 0.250
0.250 0.250 0.750
0.250 0.750 0.250
0.750 0.250 0.250
0.750 0.750 0.750
0.000 0.000 0.500
0.000 0.500 0.000
0.500 0.000 0.000
0.500 0.500 0.500